# NaPaRh4Se8 GGA-PBE relaxed
# Fermi-level density of states: 8.02 states/eV/f.u.
# energy relative to the elements, uncorrected: -603 meV per atom
# final energy: -229.6 eV per cell
data_NaPaRh4Se8
_symmetry_space_group_name_H-M 'R 3 m'
_symmetry_Int_Tables_number 160
_symmetry_space_group_name_Hall 'R 3 -2"'
_cell_length_a 7.7823
_cell_length_b 7.7823
_cell_length_c 18.3530
_cell_angle_alpha 90.00
_cell_angle_beta 90.00
_cell_angle_gamma 120.00
loop_
_atom_site_label
_atom_site_type_symbol
_atom_site_fract_x
_atom_site_fract_y
_atom_site_fract_z
Na1 Na 0.0000 0.0000 0.0000
Pa1 Pa 0.0000 0.0000 0.6167
Rh1 Rh 0.0000 0.0000 0.2511
Rh2 Rh 0.1671 0.3342 0.4591
Se1 Se 0.0000 0.0000 0.3884
Se2 Se 0.0000 0.0000 0.8555
Se3 Se 0.0007 0.5003 0.8605
Se4 Se 0.0304 0.5152 0.3878